The following is a DFT calculation (GGA+U) of a relaxed structure of MnTePtO6.

total energy = -111.3 eV per cell

Unit cell a=5.2315 b=5.2315 c=9.3750 alpha=90.00 beta=90.00 gamma=120.00
Space group P-31c (No. 163)
Asymmetric unit:
Mn  0.0000  0.0000  0.0000 [2 per cell]
Te  0.3333  0.6667  0.2500 [2 per cell]
Pt  0.3333  0.6667  0.7500 [2 per cell]
O  0.0082  0.3586  0.1351 [12 per cell]